# Sr2NbTlOs, optimized geometry, DFT PBE
# size of the total moment: 0.00 μB per formula unit
# calculated formation energy: 0.8958 eV/atom
data_Sr2NbTlOs
_space_group_name_H-M_alt 'P 4/m m m'
_space_group_IT_number 123
_space_group_name_Hall '-P 4 2'
_cell_length_a 6.142
_cell_length_b 6.142
_cell_length_c 4.661
_cell_angle_alpha 90.00
_cell_angle_beta 90.00
_cell_angle_gamma 90.00
loop_
_atom_site_label
_atom_site_fract_x
_atom_site_fract_y
_atom_site_fract_z
_atom_site_occupancy
Sr1 0.000 0.500 0.000 1
Nb1 0.000 0.000 0.000 1
Tl1 0.500 0.500 0.500 1
Os1 0.000 0.000 0.500 1